Record 1
{
  "formula": "TaGa2Rh",
  "functional": "GGA-PBE",
  "state": "relaxed",
  "cell": [[0.0000, 3.1449, 3.1449], [3.1449, 0.0000, 3.1449], [3.1449, 3.1449, 0.0000]],
  "species": ["Rh", "Ga", "Ga", "Ta"],
  "frac_coords": [[0.0000, 0.0000, 0.0000], [0.2500, 0.2500, 0.2500], [0.7500, 0.7500, 0.7500], [0.5000, 0.5000, 0.5000]],
  "delta_e_f_ev_per_atom": -0.129
}



Record 2
{
  "formula": "LiAl2Se",
  "functional": "GGA-PBE",
  "state": "relaxed",
  "cell": [[8.0193, -0.0098, -0.0058], [7.2785, 3.3665, -0.0058], [7.2785, 1.5971, 2.9636]],
  "species": ["Al", "Al", "Li", "Se"],
  "frac_coords": [[0.0072, 0.0072, 0.0072], [0.4928, 0.4928, 0.4928], [0.2500, 0.2500, 0.2500], [0.7500, 0.7500, 0.7500]],
  "raw_formation_energy_mev_per_atom": -137
}



Record 3
{
  "formula": "Er4PbN",
  "functional": "GGA-PBE",
  "state": "relaxed",
  "cell": [[5.6379, 0.0009, 0.0009], [2.8198, 7.6312, 1.4915], [0.0005, 0.7724, 7.0467]],
  "species": ["Er", "Er", "Er", "Er", "Er", "Er", "Er", "Er", "Pb", "Pb", "N", "N"],
  "frac_coords": [[0.6470, 0.7692, 0.9210], [0.4164, 0.2308, 0.5791], [0.3530, 0.2308, 0.0790], [0.5836, 0.7692, 0.4209], [0.2084, 0.6118, 0.2012], [0.8203, 0.3881, 0.2989], [0.7916, 0.3882, 0.7988], [0.1797, 0.6119, 0.7011], [0.9640, 0.0000, 0.2500], [0.0360, 0.0000, 0.7500], [0.0000, 0.5000, 0.0000], [0.5000, 0.5000, 0.5000]],
  "e_above_lowest_polymorph_kcal_per_mol_atoms": 0.00,
  "raw_formation_energy_mev_per_atom": -687
}



Record 4
{
  "formula": "Pr2ScZn12Ni3",
  "functional": "GGA-PBE",
  "state": "relaxed",
  "cell": [[-1.7498, -4.5849, 6.8519], [3.3786, -7.4406, 2.0623], [5.1791, -1.5453, 6.4669]],
  "species": ["Pr", "Pr", "Sc", "Zn", "Zn", "Zn", "Zn", "Zn", "Zn", "Zn", "Zn", "Zn", "Zn", "Zn", "Zn", "Ni", "Ni", "Ni"],
  "frac_coords": [[0.5973, 0.5973, 0.5973], [0.4027, 0.4027, 0.4027], [0.0000, 0.0000, 0.0000], [0.2305, 0.2305, 0.8675], [0.8405, 0.8405, 0.4847], [0.4847, 0.8405, 0.8405], [0.8675, 0.2305, 0.2305], [0.8405, 0.4847, 0.8405], [0.2305, 0.8675, 0.2305], [0.7695, 0.7695, 0.1325], [0.1595, 0.1595, 0.5153], [0.5153, 0.1595, 0.1595], [0.1325, 0.7695, 0.7695], [0.1595, 0.5153, 0.1595], [0.7695, 0.1325, 0.7695], [0.5000, 0.0000, 0.0000], [0.0000, 0.5000, 0.0000], [0.0000, 0.0000, 0.5000]],
  "delta_e_f_ev_per_atom": 0.102
}



Record 5
{
  "formula": "CeMgGePb",
  "functional": "GGA-PBE",
  "state": "relaxed",
  "cell": [[5.1962, 0.0000, 0.0000], [2.5981, 4.5001, 0.0000], [2.5981, 1.5000, 4.2427]],
  "species": ["Pb", "Ge", "Mg", "Ce"],
  "frac_coords": [[0.5000, 0.5000, 0.5000], [0.0000, 0.0000, 0.0000], [0.7500, 0.7500, 0.7500], [0.2500, 0.2500, 0.2500]],
  "delta_e_f_ev_per_atom": -0.256
}



Record 6
{
  "formula": "SrAc5Ge2",
  "functional": "GGA-PBE",
  "state": "relaxed",
  "cell": [[5.0097, 0.0000, 0.0000], [2.5049, 7.9472, -0.4221], [2.5049, 1.9885, 7.7060]],
  "species": ["Sr", "Ac", "Ac", "Ac", "Ac", "Ac", "Ge", "Ge"],
  "frac_coords": [[0.0000, 0.0000, 0.0000], [0.0000, 0.5000, 0.5000], [0.6599, 0.5327, 0.1474], [0.3401, 0.4673, 0.8526], [0.3401, 0.8526, 0.4673], [0.6599, 0.1474, 0.5327], [0.7271, 0.7729, 0.7729], [0.2729, 0.2271, 0.2271]],
  "delta_e_f_ev_per_atom": -0.200
}



Record 7
{
  "formula": "NbZn2Ag",
  "functional": "GGA-PBE",
  "state": "relaxed",
  "cell": [[2.8712, 0.0000, 0.0000], [1.4356, 2.4865, 0.0000], [1.4356, 0.8288, 9.3264]],
  "species": ["Nb", "Zn", "Zn", "Ag"],
  "frac_coords": [[0.5000, 0.5000, 0.5000], [0.7488, 0.7488, 0.7537], [0.2512, 0.2512, 0.2463], [0.0000, 0.0000, 0.0000]],
  "delta_e_f_ev_per_atom": 0.051
}



Record 8
{
  "formula": "Pa2TcC",
  "functional": "GGA-PBE",
  "state": "relaxed",
  "cell": [[3.3811, 0.1511, 0.0543], [-1.5501, 3.0032, -0.0518], [-0.0372, -2.0812, 7.0867]],
  "species": ["Pa", "Pa", "Tc", "C"],
  "frac_coords": [[0.4290, 0.0591, 0.2642], [0.6169, 0.4460, 0.8388], [0.0246, 0.7542, 0.5515], [0.0222, 0.2519, 0.0516]],
  "e_above_lowest_polymorph_kcal_per_mol_atoms": 0.00,
  "delta_e_f_ev_per_atom": -0.212
}



Record 9
{
  "formula": "Ca2IrPt",
  "functional": "GGA-PBE",
  "state": "relaxed",
  "cell": [[8.7859, -0.0284, -0.0168], [8.1408, 3.3044, -0.0168], [8.1408, 1.5756, 2.9046]],
  "species": ["Ca", "Ca", "Ir", "Pt"],
  "frac_coords": [[0.9995, 0.9995, 0.9995], [0.5005, 0.5005, 0.5005], [0.2500, 0.2500, 0.2500], [0.7500, 0.7500, 0.7500]],
  "delta_e_f_ev_per_atom": -0.126
}



Record 10
{
  "formula": "KV2GeBi",
  "functional": "GGA-PBE",
  "state": "relaxed",
  "cell": [[-1.0953, -3.0612, 3.9252], [1.6247, -4.6342, -3.1607], [4.7715, 0.4992, 1.7208]],
  "species": ["K", "Ge", "Bi", "V", "V"],
  "frac_coords": [[0.0000, 0.0000, 0.0000], [0.5000, 0.5000, 0.5000], [0.0000, 0.5000, 0.0000], [0.0000, 0.0000, 0.5000], [0.5000, 0.0000, 0.0000]],
  "delta_e_f_ev_per_atom": 2.101
}



Record 11
{
  "formula": "TlIn2TeSe6",
  "functional": "GGA-PBE",
  "state": "relaxed",
  "cell": [[-3.7358, 4.3599, -5.3693], [-8.2506, 0.6913, 3.4621], [0.7773, 8.2891, 3.3501]],
  "species": ["Tl", "Tl", "In", "In", "In", "In", "Te", "Te", "Se", "Se", "Se", "Se", "Se", "Se", "Se", "Se", "Se", "Se", "Se", "Se"],
  "frac_coords": [[0.2500, 0.8361, 0.1639], [0.7500, 0.1639, 0.8361], [0.2885, 0.7652, 0.6101], [0.2115, 0.3899, 0.2348], [0.7115, 0.2348, 0.3899], [0.7885, 0.6101, 0.7652], [0.2500, 0.2258, 0.7742], [0.7500, 0.7742, 0.2258], [0.1419, 0.9667, 0.8249], [0.3581, 0.1751, 0.0333], [0.8581, 0.0333, 0.1751], [0.6419, 0.8249, 0.9667], [0.4229, 0.9489, 0.3777], [0.0771, 0.6223, 0.0511], [0.5771, 0.0511, 0.6223], [0.9229, 0.3777, 0.9489], [0.0065, 0.7106, 0.5321], [0.4935, 0.4679, 0.2894], [0.9935, 0.2894, 0.4679], [0.5065, 0.5321, 0.7106]],
  "raw_formation_energy_mev_per_atom": -233
}



Record 12
{
  "formula": "Tb3Si2SnRh9",
  "functional": "GGA-PBE",
  "state": "relaxed",
  "cell": [[6.7706, 0.0000, 0.0000], [-3.3853, 5.8635, 0.0000], [0.0000, 0.0000, 7.2548]],
  "species": ["Tb", "Tb", "Tb", "Si", "Si", "Sn", "Rh", "Rh", "Rh", "Rh", "Rh", "Rh", "Rh", "Rh", "Rh"],
  "frac_coords": [[0.3333, 0.6667, 0.6724], [0.0000, 0.0000, 0.0000], [0.6667, 0.3333, 0.3276], [0.3333, 0.6667, 0.1419], [0.6667, 0.3333, 0.8581], [0.0000, 0.0000, 0.5000], [0.8104, 0.1896, 0.6540], [0.8104, 0.6207, 0.6540], [0.3793, 0.1896, 0.6540], [0.6207, 0.8104, 0.3460], [0.1896, 0.3793, 0.3460], [0.1896, 0.8104, 0.3460], [0.5000, 0.0000, 0.0000], [0.0000, 0.5000, 0.0000], [0.5000, 0.5000, 0.0000]],
  "raw_formation_energy_mev_per_atom": -444
}



| no. | size of the total moment (μB per formula unit) |
| --- | --- |
| 1 | 1.682 |
| 2 | 0.000 |
| 3 | 0.000 |
| 4 | 0.000 |
| 5 | 0.736 |
| 6 | 0.000 |
| 7 | 0.000 |
| 8 | 0.000 |
| 9 | 0.000 |
| 10 | 7.850 |
| 11 | 0.000 |
| 12 | 0.000 |